1.
# Rb2InCl

Rb2InCl after structural relaxation (PBE-GGA, Alexandria via LeMat-Bulk).

a = 7.9718 Å, b = 7.9718 Å, c = 7.9718 Å
α = 106.65°, β = 106.65°, γ = 115.27°
With the nearest neighbours (Å) after each atom.
Positions (direct):
Rb: 0.0619 0.6250 0.9369  2 Cl 3.16
Rb: 0.3750 0.3119 0.4369  2 Cl 3.16
Rb: 0.6881 0.1250 0.0631  2 Cl 3.16
Rb: 0.8750 0.9381 0.5631  2 Cl 3.16
In: 0.2500 0.7500 0.5000  8 Rb 3.96-4.37, 2 Cl 4.27
In: 0.5000 0.5000 0.0000  8 Rb 3.96-4.37, 2 Cl 4.27
Cl: 0.0000 0.0000 0.0000  4 Rb 3.16
Cl: 0.7500 0.2500 0.5000  4 Rb 3.16

Calculated values
Formation energy (no corrections): -0.664 eV per atom
Volume: 387.0 Å³ per cell
E_tot: -2.29 eV/atom
Energy above the most stable polymorph in this dataset: 0.0 kJ per mole of atoms
Crystal system: tetragonal

2.
# RbInCl2

RbInCl2 after structural relaxation (PBE-GGA, Alexandria via LeMat-Bulk).

a = 6.5371 Å, b = 6.6760 Å, c = 6.5617 Å
α = 90.00°, β = 90.00°, γ = 90.00°
With the nearest neighbours (Å) after each atom.
Positions (direct):
Rb: 0.0000 0.0007 0.0000  6 Cl 3.31-3.34
Rb: 0.5000 0.9993 0.5000  6 Cl 3.31-3.34
In: 0.0000 0.5044 0.5015  2 Cl 2.88-3.09
In: 0.5000 0.4956 0.0015  2 Cl 2.88-3.09
Cl: 0.0000 0.0736 0.5004  1 In 2.88
Cl: 0.0000 0.5005 0.9719  3 In 3.09-3.27, 2 Rb 3.34
Cl: 0.5000 0.4995 0.4719  3 In 3.09-3.27, 2 Rb 3.34
Cl: 0.5000 0.9264 0.0004  1 In 2.88

Calculated values
Formation energy (no corrections): -1.379 eV per atom
Volume: 286.4 Å³ per cell
E_tot: -3.23 eV/atom
Energy above the most stable polymorph in this dataset: 0.0 kJ per mole of atoms
Crystal system: orthorhombic

3.
# RbIn3Cl

RbIn3Cl after structural relaxation (PBE-GGA, Alexandria via LeMat-Bulk).

a = 6.6669 Å, b = 6.6669 Å, c = 6.6669 Å
α = 90.00°, β = 90.00°, γ = 90.00°
With the nearest neighbours (Å) after each atom.
Positions (direct):
Rb: 0.0000 0.0000 0.0000  6 In 3.33
In: 0.0000 0.0000 0.5000  2 Rb 3.33
In: 0.0000 0.5000 0.0000  2 Rb 3.33
In: 0.5000 0.0000 0.0000  2 Rb 3.33
Cl: 0.5000 0.5000 0.5000  12 In 4.71

Calculated values
Formation energy (no corrections): 0.638 eV per atom
Volume: 296.3 Å³ per cell
E_tot: -1.57 eV/atom
Energy above the most stable polymorph in this dataset: 69.9 kJ per mole of atoms
Crystal system: cubic

4.
# Rb3InCl8

Rb3InCl8 after structural relaxation (PBE-GGA, Alexandria via LeMat-Bulk).

a = 9.1082 Å, b = 9.1082 Å, c = 9.1082 Å
α = 131.87°, β = 131.87°, γ = 70.43°
With the nearest neighbours (Å) after each atom.
Positions (direct):
Rb: 0.0000 0.0000 0.0000  8 Cl 3.42
Rb: 0.2500 0.7500 0.5000  8 Cl 3.40
Rb: 0.7500 0.2500 0.5000  8 Cl 3.40
In: 0.5000 0.5000 0.0000  8 Cl 2.75
Cl: 0.1797 0.1797 0.5746  1 In 2.75
Cl: 0.1797 0.6051 0.0000  1 In 2.75
Cl: 0.3949 0.3949 0.5746  1 In 2.75
Cl: 0.3949 0.8203 0.0000  1 In 2.75
Cl: 0.6051 0.1797 0.0000  1 In 2.75
Cl: 0.6051 0.6051 0.4254  1 In 2.75
Cl: 0.8203 0.3949 0.0000  1 In 2.75
Cl: 0.8203 0.8203 0.4254  1 In 2.75

Calculated values
Formation energy (no corrections): -1.115 eV per atom
Volume: 410.5 Å³ per cell
E_tot: -2.82 eV/atom
Crystal system: tetragonal